VASP calculation (PBE) on a geometry-optimized CaLa2BiO structure.

a = 5.1549 Å, b = 5.1549 Å, c = 4.8040 Å
α = 90.00°, β = 90.00°, γ = 90.00°
Last column: nearest neighbours and their distance in Å.
Element x y z (fractional)
Ca1 0.0000 0.0000 0.0000  2 O 2.40
La1 0.0000 0.5000 0.5000  2 O 2.58
La2 0.5000 0.0000 0.5000  2 O 2.58
Bi1 0.5000 0.5000 0.0000  8 La 3.52, 4 Ca 3.65
O1 0.0000 0.0000 0.5000  2 Ca 2.40, 4 La 2.58

Energy (eV/atom): -5.613
Space-group type: P4/mmm, No. 123
Mass density (kg/m3): 7062
Formation energy (no corrections) (meV/atom): -1474


VASP calculation (PBE) on a geometry-optimized Ca2LaBiO6 structure.

a = 5.8412 Å, b = 6.1284 Å, c = 10.2758 Å
α = 90.00°, β = 124.13°, γ = 90.00°
Last column: nearest neighbours and their distance in Å.
Element x y z (fractional)
Ca1 0.2244 0.0468 0.2343  4 O 2.35-2.43
Ca2 0.2244 0.4532 0.7343  4 O 2.35-2.43
Ca3 0.7756 0.5468 0.2657  4 O 2.35-2.43
Ca4 0.7756 0.9532 0.7657  4 O 2.35-2.43
La1 0.0000 0.0000 0.5000  6 O 2.33-2.47
La2 0.0000 0.5000 0.0000  6 O 2.33-2.47
Bi1 0.5000 0.0000 0.0000  6 O 2.13-2.17
Bi2 0.5000 0.5000 0.5000  6 O 2.13-2.17
O1 0.1454 0.1746 0.9520  1 Bi 2.13, 1 La 2.33, 1 Ca 2.35
O2 0.1454 0.3254 0.4520  1 Bi 2.13, 1 La 2.33, 1 Ca 2.35
O3 0.2385 0.7122 0.9121  1 Bi 2.17, 1 Ca 2.39, 1 La 2.42
O4 0.2385 0.7878 0.4121  1 Bi 2.17, 1 Ca 2.39, 1 La 2.42
O5 0.3998 0.0837 0.7690  1 Bi 2.16, 1 Ca 2.35
O6 0.3998 0.4163 0.2690  1 Bi 2.16, 1 Ca 2.35
O7 0.6002 0.5837 0.7310  1 Bi 2.16, 1 Ca 2.35
O8 0.6002 0.9163 0.2310  1 Bi 2.16, 1 Ca 2.35
O9 0.7615 0.2122 0.5879  1 Bi 2.17, 1 Ca 2.39, 1 La 2.42
O10 0.7615 0.2878 0.0879  1 Bi 2.17, 1 Ca 2.39, 1 La 2.42
O11 0.8546 0.6746 0.5480  1 Bi 2.13, 1 La 2.33, 1 Ca 2.35
O12 0.8546 0.8254 0.0480  1 Bi 2.13, 1 La 2.33, 1 Ca 2.35

Energy (eV/atom): -6.649
Space-group type: P2_1/c, No. 14
Mass density (kg/m3): 5716
Formation energy (no corrections) (meV/atom): -2393


VASP calculation (PBE) on a geometry-optimized SrCaLaBiO6 structure.

a = 5.9022 Å, b = 6.1355 Å, c = 10.3476 Å
α = 90.00°, β = 124.67°, γ = 90.00°
Last column: nearest neighbours and their distance in Å.
Element x y z (fractional)
Sr1 0.0000 0.2025 0.0000  4 O 2.50-2.62
Sr2 0.0000 0.7975 0.5000  4 O 2.50-2.62
Ca1 0.2350 0.2457 0.7496  6 O 2.31-2.38
Ca2 0.2350 0.7543 0.2496  6 O 2.31-2.38
La1 0.4634 0.3080 0.4959  5 O 2.39-2.62
La2 0.4634 0.6920 0.9959  5 O 2.39-2.62
Bi1 0.7361 0.2474 0.2502  6 O 2.13-2.17
Bi2 0.7361 0.7526 0.7502  6 O 2.13-2.17
O1 0.0037 0.4744 0.8193  1 Bi 2.15, 1 Ca 2.34
O2 0.0037 0.5256 0.3193  1 Bi 2.15, 1 Ca 2.34
O3 0.0936 0.0652 0.3107  1 Bi 2.14, 1 Ca 2.31
O4 0.0936 0.9348 0.8107  1 Bi 2.14, 1 Ca 2.31
O5 0.3977 0.4450 0.1984  1 Bi 2.13, 1 Ca 2.32
O6 0.3977 0.5550 0.6984  1 Bi 2.13, 1 Ca 2.32
O7 0.4982 0.0491 0.6842  1 Bi 2.16, 1 Ca 2.35
O8 0.4982 0.9509 0.1842  1 Bi 2.16, 1 Ca 2.35
O9 0.6028 0.3070 0.0123  1 Bi 2.15, 1 Ca 2.35
O10 0.6028 0.6930 0.5123  1 Bi 2.15, 1 Ca 2.35
O11 0.8446 0.2018 0.4868  1 Bi 2.17, 1 Ca 2.38, 1 La 2.39
O12 0.8446 0.7982 0.9868  1 Bi 2.17, 1 Ca 2.38, 1 La 2.39

Energy (eV/atom): -6.650
Space-group type: Pc, No. 7
Mass density (kg/m3): 6160
ΔE to the lowest computed polymorph (meV/atom): 0
Formation energy (no corrections) (meV/atom): -2426


VASP calculation (PBE) on a geometry-optimized SrCaLaBiO6 structure.

a = 6.0374 Å, b = 6.0374 Å, c = 6.0374 Å
α = 60.00°, β = 60.00°, γ = 60.00°
Last column: nearest neighbours and their distance in Å.
Element x y z (fractional)
Sr1 0.0000 0.0000 0.0000  12 O 3.02
Ca1 0.7500 0.7500 0.7500  6 O 2.19
La1 0.5000 0.5000 0.5000  12 O 3.02
Bi1 0.2500 0.2500 0.2500  6 O 2.08
O1 0.0063 0.0063 0.4937  1 Bi 2.08, 1 Ca 2.19
O2 0.0063 0.4937 0.0063  1 Bi 2.08, 1 Ca 2.19
O3 0.0063 0.4937 0.4937  1 Bi 2.08, 1 Ca 2.19
O4 0.4937 0.0063 0.0063  1 Bi 2.08, 1 Ca 2.19
O5 0.4937 0.0063 0.4937  1 Bi 2.08, 1 Ca 2.19
O6 0.4937 0.4937 0.0063  1 Bi 2.08, 1 Ca 2.19

Energy (eV/atom): -6.402
Space-group type: F-43m, No. 216
Mass density (kg/m3): 6100
ΔE to the lowest computed polymorph (meV/atom): 249
Formation energy (no corrections) (meV/atom): -2178


VASP calculation (PBE) on a geometry-optimized SrCaLaBiO6 structure.

a = 5.9714 Å, b = 5.9714 Å, c = 8.6262 Å
α = 90.00°, β = 90.00°, γ = 90.00°
Last column: nearest neighbours and their distance in Å.
Element x y z (fractional)
Sr1 0.0000 0.5000 0.2500  8 O 2.69-2.99
Sr2 0.5000 0.0000 0.7500  8 O 2.69-2.99
Ca1 0.0000 0.0000 0.0000  6 O 2.21-2.31
Ca2 0.5000 0.5000 0.5000  6 O 2.21-2.31
La1 0.0000 0.5000 0.7500  4 O 2.49
La2 0.5000 0.0000 0.2500  4 O 2.49
Bi1 0.0000 0.0000 0.5000  6 O 2.10-2.13
Bi2 0.5000 0.5000 0.0000  6 O 2.10-2.13
O1 0.0000 0.0000 0.2563  1 Bi 2.10, 1 Ca 2.21
O2 0.0000 0.0000 0.7437  1 Bi 2.10, 1 Ca 2.21
O3 0.1576 0.3195 0.5139  1 Bi 2.13, 1 Ca 2.31
O4 0.1805 0.3424 0.9861  1 Bi 2.13, 1 Ca 2.31
O5 0.3195 0.8424 0.4861  1 Bi 2.13, 1 Ca 2.31
O6 0.3424 0.8195 0.0139  1 Bi 2.13, 1 Ca 2.31
O7 0.5000 0.5000 0.2437  1 Bi 2.10, 1 Ca 2.21
O8 0.5000 0.5000 0.7563  1 Bi 2.10, 1 Ca 2.21
O9 0.6576 0.1805 0.0139  1 Bi 2.13, 1 Ca 2.31
O10 0.6805 0.1576 0.4861  1 Bi 2.13, 1 Ca 2.31
O11 0.8195 0.6576 0.9861  1 Bi 2.13, 1 Ca 2.31
O12 0.8424 0.6805 0.5139  1 Bi 2.13, 1 Ca 2.31

Energy (eV/atom): -6.553
Space-group type: P-4n2, No. 118
Mass density (kg/m3): 6171
ΔE to the lowest computed polymorph (meV/atom): 97
Formation energy (no corrections) (meV/atom): -2329


VASP calculation (PBE) on a geometry-optimized Ca2LaBiOs structure.

a = 5.7200 Å, b = 5.7200 Å, c = 5.7967 Å
α = 90.00°, β = 90.00°, γ = 90.00°
Last column: nearest neighbours and their distance in Å.
Element x y z (fractional)
Ca1 0.0000 0.5000 0.0000  2 La 2.86
Ca2 0.5000 0.0000 0.0000  2 La 2.86
La1 0.0000 0.0000 0.0000  4 Ca 2.86, 2 Bi 2.90
Bi1 0.0000 0.0000 0.5000  2 La 2.90
Os1 0.5000 0.5000 0.5000  4 Bi 4.04, 8 Ca 4.07

Formation energy from the elements (eV per formula unit): 9.8
Energy (eV/atom): -2.852
Space-group type: P4/mmm, No. 123
Mass density (kg/m3): 5413


VASP calculation (PBE) on a geometry-optimized Ca2LaBiP structure.

a = 5.3801 Å, b = 5.3801 Å, c = 5.6747 Å
α = 90.00°, β = 90.00°, γ = 90.00°
Last column: nearest neighbours and their distance in Å.
Element x y z (fractional)
Ca1 0.0000 0.5000 0.0000  2 P 2.69
Ca2 0.5000 0.0000 0.0000  2 P 2.69
La1 0.0000 0.0000 0.5000  2 P 2.84
Bi1 0.5000 0.5000 0.5000  4 La 3.80, 8 Ca 3.91
P1 0.0000 0.0000 0.0000  4 Ca 2.69, 2 La 2.84

Formation energy from the elements (eV per formula unit): -4.5
Energy (eV/atom): -4.541
Space-group type: P4/mmm, No. 123
Mass density (kg/m3): 4640


VASP calculation (PBE) on a geometry-optimized CaLa2PaBi4 structure.

a = 7.9960 Å, b = 4.6227 Å, c = 8.0006 Å
α = 90.00°, β = 109.17°, γ = 90.00°
Last column: nearest neighbours and their distance in Å.
Element x y z (fractional)
Ca1 0.0000 0.0000 0.0000  6 Bi 3.24-3.26
La1 0.0000 0.5000 0.5000  6 Bi 3.35-3.36
La2 0.5000 0.0000 0.5000  6 Bi 3.29
Pa1 0.5000 0.5000 0.0000  6 Bi 3.16-3.20
Bi1 0.2549 0.5000 0.2392  1 Pa 3.16, 2 Ca 3.26, 3 La 3.29-3.36
Bi2 0.2589 0.0000 0.7627  2 Pa 3.20, 1 Ca 3.24, 3 La 3.29-3.35
Bi3 0.7411 0.0000 0.2373  2 Pa 3.20, 1 Ca 3.24, 3 La 3.29-3.35
Bi4 0.7451 0.5000 0.7608  1 Pa 3.16, 2 Ca 3.26, 3 La 3.29-3.36

Formation energy from the elements (eV per formula unit): -6.0
Energy (eV/atom): -5.356
Space-group type: P2/m, No. 10
Mass density (kg/m3): 8232


VASP calculation (PBE) on a geometry-optimized CaLaBi4Pb2 structure.

a = 6.9605 Å, b = 6.9606 Å, c = 6.9611 Å
α = 116.11°, β = 116.11°, γ = 96.88°
Last column: nearest neighbours and their distance in Å.
Element x y z (fractional)
Ca1 0.0000 0.0000 0.0000  8 Bi 3.48, 4 Pb 3.68-3.69
La1 0.5003 0.4999 0.9996  8 Bi 3.47-3.49, 4 Pb 3.68
Bi1 0.9996 0.9994 0.4997  2 La 3.48, 2 Ca 3.48, 4 Pb 3.48, 4 Bi 3.68-3.69
Bi2 0.0011 0.5002 0.9997  2 La 3.47-3.49, 4 Pb 3.47-3.49, 2 Ca 3.48, 4 Bi 3.68-3.69
Bi3 0.5001 0.0007 0.9998  2 La 3.47-3.49, 4 Pb 3.48-3.49, 2 Ca 3.48, 4 Bi 3.68-3.69
Bi4 0.5001 0.4998 0.5000  2 La 3.48, 4 Pb 3.48, 2 Ca 3.48, 4 Bi 3.68-3.69
Pb1 0.9998 0.4994 0.4996  8 Bi 3.47-3.49, 2 Ca 3.68-3.69, 2 La 3.68
Pb2 0.4998 0.9996 0.4998  8 Bi 3.47-3.49, 2 La 3.68, 2 Ca 3.68

Formation energy from the elements (eV per formula unit): -3.6
Energy (eV/atom): -4.190
Space-group type: P1, No. 1
Mass density (kg/m3): 9472


VASP calculation (PBE) on a geometry-optimized CaLaBiPd structure.

a = 7.6427 Å, b = 7.6427 Å, c = 7.6427 Å
α = 90.00°, β = 90.00°, γ = 90.00°
Last column: nearest neighbours and their distance in Å.
Element x y z (fractional)
Ca1 0.0000 0.0000 0.0000  4 Bi 3.31, 4 Pd 3.31
Ca2 0.0000 0.5000 0.5000  4 Bi 3.31, 4 Pd 3.31
Ca3 0.5000 0.0000 0.5000  4 Bi 3.31, 4 Pd 3.31
Ca4 0.5000 0.5000 0.0000  4 Bi 3.31, 4 Pd 3.31
La1 0.0000 0.0000 0.5000  4 Pd 3.31, 4 Bi 3.31
La2 0.0000 0.5000 0.0000  4 Pd 3.31, 4 Bi 3.31
La3 0.5000 0.0000 0.0000  4 Pd 3.31, 4 Bi 3.31
La4 0.5000 0.5000 0.5000  4 Bi 3.31, 4 Pd 3.31
Bi1 0.2500 0.2500 0.2500  4 La 3.31, 4 Ca 3.31
Bi2 0.2500 0.7500 0.7500  4 La 3.31, 4 Ca 3.31
Bi3 0.7500 0.2500 0.7500  4 La 3.31, 4 Ca 3.31
Bi4 0.7500 0.7500 0.2500  4 La 3.31, 4 Ca 3.31
Pd1 0.2500 0.2500 0.7500  4 La 3.31, 4 Ca 3.31
Pd2 0.2500 0.7500 0.2500  4 La 3.31, 4 Ca 3.31
Pd3 0.7500 0.2500 0.2500  4 La 3.31, 4 Ca 3.31
Pd4 0.7500 0.7500 0.7500  4 La 3.31, 4 Ca 3.31

Formation energy from the elements (eV per formula unit): -3.0
Energy (eV/atom): -4.755
Space-group type: F-43m, No. 216
Mass density (kg/m3): 7356


VASP calculation (PBE) on a geometry-optimized CaLa2PmBi4 structure.

a = 7.9934 Å, b = 4.6746 Å, c = 8.1231 Å
α = 90.00°, β = 109.70°, γ = 90.00°
Last column: nearest neighbours and their distance in Å.
Element x y z (fractional)
Ca1 0.0000 0.0000 0.0000  6 Bi 3.28
La1 0.5000 0.0000 0.5000  6 Bi 3.30-3.31
La2 0.5000 0.5000 0.0000  6 Bi 3.32-3.33
Pm1 0.0000 0.5000 0.5000  6 Bi 3.26
Bi1 0.2443 0.0000 0.7466  2 Pm 3.26, 1 Ca 3.28, 3 La 3.31-3.32
Bi2 0.2459 0.5000 0.2506  1 Pm 3.26, 2 Ca 3.28, 3 La 3.30-3.33
Bi3 0.7541 0.5000 0.7494  1 Pm 3.26, 2 Ca 3.28, 3 La 3.30-3.33
Bi4 0.7557 0.0000 0.2534  2 Pm 3.26, 1 Ca 3.28, 3 La 3.31-3.32

Formation energy from the elements (eV per formula unit): -7.3
Energy (eV/atom): -4.923
Space-group type: P2/m, No. 10
Mass density (kg/m3): 7547


VASP calculation (PBE) on a geometry-optimized CaLaPr2Bi4 structure.

a = 6.5812 Å, b = 6.5812 Å, c = 13.1865 Å
α = 90.00°, β = 90.00°, γ = 90.00°
Last column: nearest neighbours and their distance in Å.
Element x y z (fractional)
Ca1 0.0000 0.0000 0.0000  6 Bi 3.29-3.30
Ca2 0.5000 0.5000 0.5000  6 Bi 3.29-3.30
La1 0.0000 0.0000 0.5000  6 Bi 3.29
La2 0.5000 0.5000 0.0000  6 Bi 3.29
Pr1 0.0000 0.5000 0.2500  6 Bi 3.29-3.30
Pr2 0.0000 0.5000 0.7500  6 Bi 3.29-3.30
Pr3 0.5000 0.0000 0.2500  6 Bi 3.29-3.30
Pr4 0.5000 0.0000 0.7500  6 Bi 3.29-3.30
Bi1 0.0000 0.0000 0.2505  4 Pr 3.29, 1 La 3.29, 1 Ca 3.30
Bi2 0.0000 0.0000 0.7495  4 Pr 3.29, 1 La 3.29, 1 Ca 3.30
Bi3 0.0000 0.5000 0.0000  2 La 3.29, 2 Ca 3.29, 2 Pr 3.30
Bi4 0.0000 0.5000 0.5000  2 Ca 3.29, 2 La 3.29, 2 Pr 3.30
Bi5 0.5000 0.0000 0.0000  2 La 3.29, 2 Ca 3.29, 2 Pr 3.30
Bi6 0.5000 0.0000 0.5000  2 Ca 3.29, 2 La 3.29, 2 Pr 3.30
Bi7 0.5000 0.5000 0.2495  4 Pr 3.29, 1 La 3.29, 1 Ca 3.30
Bi8 0.5000 0.5000 0.7505  4 Pr 3.29, 1 La 3.29, 1 Ca 3.30

Formation energy from the elements (eV per formula unit): -7.1
Energy (eV/atom): -4.890
Space-group type: I4/mmm, No. 139
Mass density (kg/m3): 7540